VASP calculation (PBE-GGA) on a relaxed Mn2CoTe crystal.

The structure in POSCAR format:
```
Mn2CoTe
1.0
4.799 0.010 -0.140
1.848 4.430 0.140
-3.297 -2.259 2.661
Co Mn Te
1 2 1
Direct
0.750 0.250 0.500
0.003 0.003 0.000
0.497 0.497 0.000
0.250 0.750 0.500
```

crystal system: orthorhombic
raw total energy: -27.72 eV per cell

=====

VASP calculation (PBE-GGA) on a relaxed MnCoTe crystal.

The structure in POSCAR format:
```
MnCoTe
1.0
4.143 0.000 0.000
2.072 3.588 0.000
2.072 1.196 3.383
Te Co Mn
1 1 1
Direct
0.500 0.500 0.500
0.250 0.250 0.250
0.000 0.000 0.000
```

excess energy over the best structure of this formula in the dataset: 0.000 eV per atom
crystal system: cubic

=====

VASP calculation (PBE-GGA) on a relaxed MnCoTe6 crystal.

The structure in POSCAR format:
```
MnCoTe6
1.0
-2.911 2.390 -5.311
-5.410 -2.827 -2.301
-5.756 3.012 0.486
Te Co Mn
6 1 1
Direct
0.571 0.239 0.255
0.246 0.937 0.247
0.938 0.568 0.255
0.754 0.063 0.753
0.429 0.761 0.745
0.062 0.432 0.745
0.000 0.000 0.000
0.500 0.500 0.500
```

crystal system: triclinic
raw total energy: -35.76 eV per cell

=====

VASP calculation (PBE-GGA) on a relaxed MnCoTe crystal.

The structure in POSCAR format:
```
MnCoTe
1.0
3.257 0.000 0.000
-1.628 2.821 0.000
0.000 0.000 5.685
Te Mn Co
1 1 1
Direct
0.333 0.667 0.689
0.667 0.333 0.298
0.000 0.000 0.013
```

excess energy over the best structure of this formula in the dataset: 0.511 eV per atom
crystal system: trigonal